Here is a geometry-optimized KU3P4N12 structure from Alexandria. Energies are from GGA-PBE.

Computed properties:
Total magnetization ... 3.0 μB/cell
Symmetry ... R32 (155)
E_form (uncorrected) ... -0.607 eV per atom

```
20
Lattice="6.960 0.072 0.100 -1.607 6.773 0.100 -1.607 -2.055 6.454" Properties=species:S:1:pos:R:3 pbc="T T T"
K 0.000 0.000 0.000
N 1.873 1.107 4.254
N 0.623 3.373 3.327
N -0.610 0.673 6.417
N 3.123 2.705 2.400
N 1.873 -1.188 5.906
N 4.356 -1.082 3.979
N 5.350 3.258 0.748
N 0.801 6.221 1.630
N -1.604 5.114 3.327
N -2.099 2.514 5.025
N 5.845 0.823 2.676
N 2.945 5.219 0.237
P 5.704 -0.601 3.327
P -1.958 1.444 6.168
P 1.873 2.395 3.327
P 1.873 6.342 0.486
U -1.607 2.799 2.960
U 3.104 3.088 0.100
U 2.249 -1.098 3.594
```

***

Here is a geometry-optimized K2UP2N6 structure from Alexandria. Energies are from GGA-PBE.

Computed properties:
Total magnetization ... 0.0 μB/cell
Symmetry ... R-3m (166)
E_form (uncorrected) ... -0.602 eV per atom

```
11
Lattice="5.760 0.000 0.000 2.880 4.989 0.000 2.880 1.663 6.203" Properties=species:S:1:pos:R:3 pbc="T T T"
U 0.000 0.000 0.000
N 4.392 2.536 4.886
N 7.129 4.116 1.317
N 7.129 2.536 4.886
N 5.760 1.745 1.317
N 5.760 4.906 4.886
N 4.392 4.116 1.317
P 5.760 3.326 1.282
P 5.760 3.326 4.921
K 2.880 1.663 2.330
K 8.641 4.989 3.873
```

***

Here is a geometry-optimized KUP2N6 structure from Alexandria. Energies are from GGA-PBE.

Computed properties:
Total magnetization ... 0.0 μB/cell
Symmetry ... C2/c (15)
E_form (uncorrected) ... -0.432 eV per atom

```
20
Lattice="4.957 -0.353 -0.366 1.154 7.210 -0.142 1.154 -0.409 7.200" Properties=species:S:1:pos:R:3 pbc="T T T"
P 2.843 5.370 4.347
P 1.944 2.479 1.347
P 5.322 3.969 5.344
P 4.422 1.078 2.344
N 3.939 1.024 3.904
N 5.312 6.812 1.597
N 6.159 4.672 4.062
N 2.834 1.520 7.049
N 1.461 4.040 1.351
N 3.585 2.386 1.688
N 3.680 4.062 5.003
N 3.326 5.423 2.787
N 1.953 -0.364 5.094
N 4.432 4.928 -0.358
N 1.107 1.775 2.630
N 5.805 2.408 5.340
U 4.872 4.689 1.757
U 2.394 1.758 4.934
K 4.872 -0.042 6.315
K 2.394 6.489 0.376
```

***

Here is a geometry-optimized K4U3PN8 structure from Alexandria. Energies are from GGA-PBE.

Computed properties:
Total magnetization ... 0.9 μB/cell
Symmetry ... R-3m (166)
E_form (uncorrected) ... -0.648 eV per atom

```
16
Lattice="-0.130 -0.531 6.915 7.146 -2.293 -0.042 -1.439 6.068 -3.040" Properties=species:S:1:pos:R:3 pbc="T T T"
N 4.026 0.784 3.615
N 3.353 4.018 -1.277
N 4.036 1.144 0.164
N 2.286 -0.523 1.833
N 3.292 3.767 2.000
N 1.551 2.460 0.218
N 2.224 -0.775 5.110
N 1.542 2.100 3.669
U 2.854 1.888 -1.541
U 2.789 1.622 1.917
U 3.508 -1.412 3.437
K -0.719 3.034 -1.520
K -0.784 2.768 1.938
K 0.000 0.000 0.000
K -0.065 -0.266 3.457
P 3.573 -1.147 -0.021
```